Here is a relaxed Ti3Nb2Mo crystal from the Alexandria database. Energies are from PBE-GGA.

Computed properties:
DOS(E_F) ... 17.013 states/eV/cell
DFT formation energy ... -0.04 eV/atom

Cell and atoms, written as CIF:
```
data_Ti3Nb2Mo
_symmetry_space_group_name_H-M 'P 1 21/m 1'
_symmetry_Int_Tables_number 11
_symmetry_space_group_name_Hall '-P 2yb'
_cell_length_a 5.6908
_cell_length_b 4.5374
_cell_length_c 7.9535
_cell_angle_alpha 90.00
_cell_angle_beta 90.05
_cell_angle_gamma 90.00
loop_
_atom_site_label
_atom_site_type_symbol
_atom_site_fract_x
_atom_site_fract_y
_atom_site_fract_z
_atom_site_occupancy
Ti1 Ti 0.0056 0.2500 0.2714 1
Ti2 Ti 0.3182 0.2500 0.5737 1
Ti3 Ti 0.4882 0.7500 0.7574 1
Nb1 Nb 0.1802 0.2500 0.9174 1
Nb2 Nb 0.3220 0.7500 0.0954 1
Mo1 Mo 0.1790 0.7500 0.4175 1
```

Here is a relaxed Ti2Nb5Mo crystal from the Alexandria database. Energies are from PBE-GGA.

Computed properties:
DOS(E_F) ... 25.096 states/eV/cell
DFT formation energy ... -0.02 eV/atom

Cell and atoms, written as CIF:
```
data_Ti2Nb5Mo
_symmetry_space_group_name_H-M 'I 4/m m m'
_symmetry_Int_Tables_number 139
_symmetry_space_group_name_Hall '-I 4 2'
_cell_length_a 4.6216
_cell_length_b 4.6216
_cell_length_c 13.1554
_cell_angle_alpha 90.00
_cell_angle_beta 90.00
_cell_angle_gamma 90.00
loop_
_atom_site_label
_atom_site_type_symbol
_atom_site_fract_x
_atom_site_fract_y
_atom_site_fract_z
_atom_site_occupancy
Ti1 Ti 0.0000 0.0000 0.2501 1
Nb1 Nb 0.0000 0.0000 0.0000 1
Nb2 Nb 0.0000 0.5000 0.1211 1
Mo1 Mo 0.0000 0.0000 0.5000 1
```

Here is a relaxed Ti2Nb6Mo crystal from the Alexandria database. Energies are from PBE-GGA.

Computed properties:
Excess energy over the best structure of this formula in the dataset ... 0.0 meV per atom
DOS(E_F) ... 12.893 states/eV/cell
DFT formation energy ... -0.02 eV/atom

Cell and atoms, written as CIF:
```
data_Ti2Nb6Mo
_symmetry_space_group_name_H-M 'P -1'
_symmetry_Int_Tables_number 2
_symmetry_space_group_name_Hall '-P 1'
_cell_length_a 2.8184
_cell_length_b 7.0878
_cell_length_c 8.1727
_cell_angle_alpha 100.77
_cell_angle_beta 91.11
_cell_angle_gamma 97.43
loop_
_atom_site_label
_atom_site_type_symbol
_atom_site_fract_x
_atom_site_fract_y
_atom_site_fract_z
_atom_site_occupancy
Ti1 Ti 0.1299 0.3329 0.0540 1
Nb1 Nb 0.2207 0.6699 0.6121 1
Nb2 Nb 0.3529 0.0000 0.1663 1
Nb3 Nb 0.4295 0.3283 0.7214 1
Mo1 Mo 0.0000 0.0000 0.5000 1
```

Here is a relaxed TiNb2Mo crystal from the Alexandria database. Energies are from PBE-GGA.

Computed properties:
DOS(E_F) ... 10.726 states/eV/cell
DFT formation energy ... -0.08 eV/atom

Cell and atoms, written as CIF:
```
data_TiNb2Mo
_symmetry_space_group_name_H-M 'I m m m'
_symmetry_Int_Tables_number 71
_symmetry_space_group_name_Hall '-I 2 2'
_cell_length_a 3.2542
_cell_length_b 4.6224
_cell_length_c 9.1643
_cell_angle_alpha 90.00
_cell_angle_beta 90.00
_cell_angle_gamma 90.00
loop_
_atom_site_label
_atom_site_type_symbol
_atom_site_fract_x
_atom_site_fract_y
_atom_site_fract_z
_atom_site_occupancy
Ti1 Ti 0.0000 0.0000 0.0000 1
Nb1 Nb 0.0000 0.5000 0.2381 1
Mo1 Mo 0.0000 0.0000 0.5000 1
```